Entry 1:
## LiAcLaZn (PBE-GGA)

Data for LiAcLaZn after structural relaxation.

abc: 3.942 3.942 7.672
angles: 90.00 90.00 90.00
Space group P4mm (No. 99)
One atom of each set of equivalent atoms:
Li  0.000  0.000  0.000 (multiplicity 1)
Ac  0.500  0.500  0.715 (multiplicity 1)
La  0.500  0.500  0.259 (multiplicity 1)
Zn  0.000  0.000  0.469 (multiplicity 1)

For the electronic total energy, the calculation gives -3.166 eV/atom. The formation energy is -0.44 eV per formula unit. For the polymorph energy (0 for the lowest one), the calculation gives 0 meV per atom. As for the total magnetization: 0.0 μB/cell.

Entry 2:
## CePaGa4 (PBE-GGA)

Data for CePaGa4 after structural relaxation.

abc: 7.833 7.833 7.833
angles: 90.00 90.00 90.00
Space group F-43m (No. 216)
One atom of each set of equivalent atoms:
Ce  0.000  0.000  0.000 (multiplicity 4)
Pa  0.250  0.250  0.250 (multiplicity 4)
Ga  0.125  0.125  0.625 (multiplicity 16)

For the electronic total energy, the calculation gives -4.985 eV/atom. The formation energy is -2.37 eV per formula unit. For the polymorph energy (0 for the lowest one), the calculation gives 50 meV per atom. As for the total magnetization: 9.6 μB/cell.

Entry 3:
## Ag3IrC (PBE-GGA)

Data for Ag3IrC after structural relaxation.

abc: 5.108 5.108 5.108
angles: 90.00 90.00 90.00
Space group Pm-3m (No. 221)
One atom of each set of equivalent atoms:
Ag  0.000  0.000  0.500 (multiplicity 3)
Ir  0.000  0.000  0.000 (multiplicity 1)
C  0.500  0.500  0.500 (multiplicity 1)

For the electronic total energy, the calculation gives -2.840 eV/atom. The formation energy is 12.44 eV per formula unit. For the polymorph energy (0 for the lowest one), the calculation gives 1287 meV per atom. As for the total magnetization: 3.2 μB/cell.

Entry 4:
## PmDy2Ho (PBE-GGA)

Data for PmDy2Ho after structural relaxation.

abc: 3.5838 3.5838 34.6217
angles: 90.00 90.00 120.00
Space group R3m (No. 160, hexagonal axes)
One atom of each set of equivalent atoms:
Pm  0.0000  0.0000  0.0000 (multiplicity 3)
Dy  0.0000  0.0000  0.2492 (multiplicity 3)
Dy  0.0000  0.0000  0.4184 (multiplicity 3)
Ho  0.0000  0.0000  0.8339 (multiplicity 3)

For the electronic total energy, the calculation gives -4.618 eV/atom. The formation energy is 0.06 eV per formula unit. For the polymorph energy (0 for the lowest one), the calculation gives 1 meV per atom. As for the total magnetization: 0.0 μB/cell.